[1]
VASP calculation (PBE-GGA) on Zr2NiSe after structural relaxation.

Unit cell a=3.386 b=3.386 c=6.295 alpha=90.00 beta=90.00 gamma=90.00
Fractional positions:
Zr1 0.000 0.000 0.240
Zr2 0.000 0.000 0.760
Ni1 0.500 0.500 0.000
Se1 0.500 0.500 0.500

The calculation puts the uncorrected formation energy at -0.58 eV/atom. The value obtained for the mass density is 7.36 Mg/m³. As for the space group: P4/mmm. Its total magnetic moment is 0.000 μB/cell. The value obtained for the total energy is -7.17 eV per atom.

***

[2]
VASP calculation (PBE-GGA) on Al2HgSe4 after structural relaxation.

Unit cell a=6.856 b=6.856 c=6.856 alpha=129.34 beta=129.34 gamma=74.46
Fractional positions:
Al1 0.000 0.000 0.000
Al2 0.750 0.250 0.500
Hg1 0.500 0.500 0.000
Se1 0.093 0.635 0.005
Se2 0.365 0.370 0.458
Se3 0.630 0.088 0.995
Se4 0.912 0.907 0.542

The calculation puts the uncorrected formation energy at -0.70 eV/atom. For the polymorph energy (0 for the lowest one), the calculation gives 0 meV per atom. The value obtained for the mass density is 5.04 Mg/m³. As for the space group: I-4. Its total magnetic moment is 0.000 μB/cell. The value obtained for the total energy is -3.80 eV per atom.

***

[3]
VASP calculation (PBE-GGA) on BaAlBiO4 after structural relaxation.

Unit cell a=6.300 b=5.909 c=7.431 alpha=90.00 beta=113.89 gamma=90.00
Fractional positions:
Ba1 0.208 0.250 0.465
Ba2 0.792 0.750 0.535
Al1 0.222 0.750 0.194
Al2 0.778 0.250 0.806
Bi1 0.296 0.250 0.022
Bi2 0.704 0.750 0.978
O1 0.025 0.750 0.940
O2 0.041 0.750 0.324
O3 0.415 0.513 0.249
O4 0.415 0.987 0.249
O5 0.585 0.013 0.751
O6 0.585 0.487 0.751
O7 0.959 0.250 0.676
O8 0.975 0.250 0.060

The calculation puts the uncorrected formation energy at -2.29 eV/atom. The value obtained for the mass density is 5.74 Mg/m³. As for the space group: P2_1/m. Its total magnetic moment is 0.000 μB/cell. The value obtained for the total energy is -6.49 eV per atom.